Record 1
Computed, not measured: a relaxed structure of Li2EuBi at the PBE level of DFT.

```
data_Li2EuBi
_cell_length_a 4.8292
_cell_length_b 4.6890
_cell_length_c 4.6890
_cell_angle_alpha 90.00
_cell_angle_beta 90.00
_cell_angle_gamma 90.00
_symmetry_space_group_name_H-M 'P 1'
_symmetry_Int_Tables_number 1
loop_
_symmetry_equiv_pos_as_xyz
'x,y,z'
loop_
_atom_site_label
_atom_site_fract_x
_atom_site_fract_y
_atom_site_fract_z
_atom_site_occupancy
Li1 0.0000 0.5000 0.0000 1
Li2 0.0000 0.0000 0.5000 1
Eu1 0.5000 0.5000 0.5000 1
Bi1 0.5000 0.0000 0.0000 1
```

Polymorph energy (0 for the lowest one)   11 meV/atom
DFT formation energy   -0.425 eV/atom

Record 2
Computed, not measured: a relaxed structure of CePrAu2 at the PBE level of DFT.

```
data_CePrAu2
_cell_length_a 4.1672
_cell_length_b 4.1672
_cell_length_c 8.0739
_cell_angle_alpha 75.04
_cell_angle_beta 75.04
_cell_angle_gamma 60.00
_symmetry_space_group_name_H-M 'P 1'
_symmetry_Int_Tables_number 1
loop_
_symmetry_equiv_pos_as_xyz
'x,y,z'
loop_
_atom_site_label
_atom_site_fract_x
_atom_site_fract_y
_atom_site_fract_z
_atom_site_occupancy
Ce1 0.6683 0.6683 0.9952 1
Au1 0.0820 0.0820 0.7541 1
Au2 0.2516 0.2516 0.2452 1
Pr1 0.4982 0.4982 0.5055 1
```

DFT formation energy   -0.564 eV/atom